Entry 1:
The following is a GGA-PBE calculation of crystalline LiHg at its relaxed geometry, from Alexandria.

The structure in POSCAR format:
```
LiHg
1.0
3.313 0.000 0.000
0.000 5.654 3.330
0.000 -5.654 3.330
Li Hg
3 3
Direct
0.000 0.000 0.000 Li
0.000 0.268 0.536 Li
0.000 0.536 0.268 Li
0.500 0.274 0.884 Hg
0.500 0.659 0.659 Hg
0.500 0.884 0.274 Hg
```

Calculated values
The value obtained for the energy relative to the elements is -0.23 eV per atom. Its density of states at the Fermi level is 0.415 states/eV per atom.

***

Entry 2:
The following is a GGA-PBE calculation of crystalline Li4Hg at its relaxed geometry, from Alexandria.

The structure in POSCAR format:
```
Li4Hg
1.0
-3.272 3.272 2.072
3.272 -3.272 2.072
3.272 3.272 -2.072
Li Hg
4 1
Direct
0.105 0.292 0.397 Li
0.292 0.895 0.187 Li
0.708 0.105 0.813 Li
0.895 0.708 0.603 Li
0.500 0.500 0.000 Hg
```

Calculated values
The value obtained for the energy relative to the elements is -0.23 eV per atom. The calculation puts the energy above the lowest structure with this stoichiometry at 0 meV/atom. Its density of states at the Fermi level is 0.317 states/eV per atom.

***

Entry 3:
The following is a GGA-PBE calculation of crystalline LiHg3 at its relaxed geometry, from Alexandria.

The structure in POSCAR format:
```
LiHg3
1.0
3.319 0.000 0.000
-1.659 2.874 0.000
0.000 0.000 9.616
Li Hg
1 3
Direct
0.000 0.000 0.000 Li
0.000 0.000 0.500 Hg
0.333 0.667 0.220 Hg
0.333 0.667 0.780 Hg
```

Calculated values
The value obtained for the energy relative to the elements is -0.16 eV per atom. Its density of states at the Fermi level is 0.307 states/eV per atom.

***

Entry 4:
The following is a GGA-PBE calculation of crystalline LiHg3 at its relaxed geometry, from Alexandria.

The structure in POSCAR format:
```
LiHg3
1.0
0.000 3.553 3.553
3.553 0.000 3.553
3.553 3.553 0.000
Li Hg
1 3
Direct
0.000 0.000 0.000 Li
0.250 0.250 0.250 Hg
0.500 0.500 0.500 Hg
0.750 0.750 0.750 Hg
```

Calculated values
The value obtained for the energy relative to the elements is -0.17 eV per atom. Its density of states at the Fermi level is 0.343 states/eV per atom.

***

Entry 5:
The following is a GGA-PBE calculation of crystalline LiHg12 at its relaxed geometry, from Alexandria.

The structure in POSCAR format:
```
LiHg12
1.0
-4.398 4.398 4.398
4.398 -4.398 4.398
4.398 4.398 -4.398
Li Hg
1 12
Direct
0.000 0.000 0.000 Li
0.137 0.822 0.315 Hg
0.178 0.315 0.493 Hg
0.178 0.685 0.863 Hg
0.315 0.137 0.822 Hg
0.315 0.493 0.178 Hg
0.493 0.178 0.315 Hg
0.507 0.822 0.685 Hg
0.685 0.507 0.822 Hg
0.685 0.863 0.178 Hg
0.822 0.315 0.137 Hg
0.822 0.685 0.507 Hg
0.863 0.178 0.685 Hg
```

Calculated values
The value obtained for the energy relative to the elements is -0.06 eV per atom. Its density of states at the Fermi level is 0.192 states/eV per atom.

***

Entry 6:
The following is a GGA-PBE calculation of crystalline LiHg3 at its relaxed geometry, from Alexandria.

The structure in POSCAR format:
```
LiHg3
1.0
3.476 0.000 0.000
0.000 3.737 0.000
-0.708 0.000 6.980
Li Hg
1 3
Direct
0.000 0.000 0.000 Li
0.000 0.000 0.500 Hg
0.500 0.500 0.224 Hg
0.500 0.500 0.776 Hg
```

Calculated values
The value obtained for the energy relative to the elements is -0.17 eV per atom. Its density of states at the Fermi level is 0.304 states/eV per atom.